Material: Y2CoAsPd
Method: DFT, PBEsol
State: optimized geometry

Geometry as POSCAR:
```
Y2CoAsPd
1.0
4.195 0.000 0.000
0.000 5.067 0.000
0.000 0.000 5.067
Y Pd Co As
2 1 1 1
direct
0.000 0.000 0.500
0.000 0.500 0.000
0.500 0.500 0.500
0.000 0.000 0.000
0.500 0.000 0.000
```

Results
For the magnetization, the calculation gives 0.000 μB/f.u. As for the volume: 108 Å³ per cell. The value obtained for the total DFT energy (no corrections) is -6.8984 eV/atom. The theoretical density is 6445 kg/m3. The calculation puts the formation enthalpy at 0 K at -0.409 eV per atom. As for the symmetry: No. 123.

Material: CdSbPt
Method: DFT, PBEsol
State: optimized geometry

Geometry as POSCAR:
```
CdSbPt
1.0
-0.207 0.480 3.430
-2.502 -1.735 -1.663
3.048 -5.281 0.923
Cd Sb Pt
1 1 1
direct
0.000 0.000 0.969
0.667 0.333 0.378
0.333 0.667 0.654
```

Results
For the magnetization, the calculation gives 0.000 μB/f.u. As for the volume: 64 Å³ per cell. The value obtained for the total DFT energy (no corrections) is -4.3654 eV/atom. The theoretical density is 11086 kg/m3. Its raw formation energy is -0.13 eV/atom. As for the symmetry: No. 156.

Material: Nb2HRh
Method: DFT, PBEsol
State: optimized geometry

Geometry as POSCAR:
```
Nb2HRh
1.0
-2.304 -3.066 -1.949
1.799 -3.806 -0.887
-1.198 -3.507 2.185
Nb H Rh
2 1 1
direct
0.250 0.250 0.250
0.750 0.750 0.750
0.000 0.000 0.000
0.500 0.500 0.500
```

Results
For the magnetization, the calculation gives 0.000 μB/f.u. As for the volume: 56 Å³ per cell. The value obtained for the total DFT energy (no corrections) is -7.9822 eV/atom. The theoretical density is 8544 kg/m3. As for the symmetry: No. 225.

Material: Li2TaTl
Method: DFT, PBEsol
State: optimized geometry

Geometry as POSCAR:
```
Li2TaTl
1.0
-2.364 -0.207 -1.490
-1.537 -4.240 3.029
-1.539 4.903 1.761
Li Ta Tl
2 1 1
direct
0.000 0.000 0.500
0.000 0.500 0.000
0.500 0.000 0.000
0.500 0.500 0.500
```

Results
For the magnetization, the calculation gives 0.056 μB/f.u. As for the volume: 74 Å³ per cell. The value obtained for the total DFT energy (no corrections) is -4.3570 eV/atom. The theoretical density is 8943 kg/m3. The calculation puts the formation enthalpy at 0 K at 0.422 eV per atom. As for the symmetry: No. 65.